First-principles (GGA+U) data for an optimized crystal structure of SrLaNiO4, as listed in Alexandria via LeMat-Bulk.

Properties
As for the volume: 93.2 Å³ per cell. The calculation puts the energy above the most stable polymorph in this dataset at 0.0 kJ/mol of atoms.

Geometry as extended XYZ:
```
7
Lattice="6.8167 0.0037 0.0000 4.6241 5.0086 0.0000 -5.7204 -2.5061 2.7320" Properties=species:S:1:pos:R:3 pbc="T T T"
Sr 4.1170 1.8037 0.0000
La 7.3201 3.2070 0.0000
Ni 11.4021 4.9953 0.0000
O 1.8675 0.8182 0.0000
O 9.4808 4.1536 0.0000
O 0.6157 -1.2216 1.3660
O -0.4807 1.2808 1.3660
```